# 1
! TiB2PPd | Alexandria | PBE | relaxed; values from VASP
&SYSTEM
  ibrav = 0, nat = 5, ntyp = 4
/
ATOMIC_SPECIES
Ti 47.87 Ti.upf
B 10.81 B.upf
P 30.97 P.upf
Pd 106.42 Pd.upf
CELL_PARAMETERS angstrom
3.8937 0.0000 0.0000
0.0000 3.8937 0.0000
0.0000 0.0000 5.3467
ATOMIC_POSITIONS angstrom
Ti 0.0000 0.0000 0.0000
B 0.0000 1.9468 2.6733
B 1.9468 0.0000 2.6733
P 1.9468 1.9468 0.0000
Pd 0.0000 0.0000 2.6733
! * crystal system: tetragonal
! * energy of formation: 772.0 meV/atom
! * DFT total energy: -5.598 eV/atom
! * total moment: 0.00 μB/atom

# 2
! PmBP2 | Alexandria | PBE | relaxed; values from VASP
&SYSTEM
  ibrav = 0, nat = 4, ntyp = 3
/
ATOMIC_SPECIES
Pm 145.00 Pm.upf
B 10.81 B.upf
P 30.97 P.upf
CELL_PARAMETERS angstrom
2.2352 1.2905 6.3155
-2.2352 1.2905 6.3155
0.0000 -2.5810 6.3155
ATOMIC_POSITIONS angstrom
Pm 0.0000 0.0000 0.0000
B 0.0000 0.0000 9.4732
P 0.0000 0.0000 7.7020
P 0.0000 0.0000 11.2444
! * crystal system: trigonal
! * energy of formation: -363.7 meV/atom
! * DFT total energy: -5.926 eV/atom
! * total moment: 0.00 μB/atom